Entry 1:
First-principles (PBE-GGA) data for a geometry-optimized BeAs2Se structure, as listed in Alexandria.

Unit cell a=3.4884 b=3.4884 c=18.1788 alpha=90.00 beta=90.00 gamma=90.00
Sites, in units of the cell vectors:
Be 0.0000 0.0000 0.0000
Be 0.5000 0.5000 0.5000
As 0.0000 0.5000 0.2500
As 0.0000 0.5000 0.7500
As 0.5000 0.0000 0.2500
As 0.5000 0.0000 0.7500
Se 0.0000 0.0000 0.5000
Se 0.5000 0.5000 0.0000

Properties
As for the symmetry: I4/mmm, No. 139. The formation energy from raw total energies comes out at 1.6 eV per formula unit. The value obtained for the theoretical density is 3.57 g cm⁻³. The calculation puts the excess energy over the best structure of this formula in the dataset at 0.681 eV per atom.

=====

Entry 2:
First-principles (PBE-GGA) data for a geometry-optimized Li8Mg2Pd structure, as listed in Alexandria.

Unit cell a=7.1206 b=7.1206 c=4.7812 alpha=100.92 beta=100.92 gamma=82.41
Sites, in units of the cell vectors:
Li 0.0642 0.0642 0.2859
Li 0.1288 0.5997 0.8418
Li 0.2109 0.2109 0.8376
Li 0.4003 0.8712 0.1582
Li 0.5997 0.1288 0.8418
Li 0.7891 0.7891 0.1624
Li 0.8712 0.4003 0.1582
Li 0.9358 0.9358 0.7141
Mg 0.3605 0.3605 0.4036
Mg 0.6395 0.6395 0.5964
Pd 0.5000 0.5000 0.0000

Properties
As for the symmetry: C2/m, No. 12. The value obtained for the theoretical density is 1.50 g cm⁻³. Its calculated formation energy is -0.6 kJ/mol of atoms. The calculation puts the excess energy over the best structure of this formula in the dataset at 0.087 eV per atom.

=====

Entry 3:
First-principles (PBE-GGA) data for a geometry-optimized YV2BI structure, as listed in Alexandria.

Unit cell a=5.3239 b=5.3239 c=5.7156 alpha=90.00 beta=90.00 gamma=90.00
Sites, in units of the cell vectors:
Y 0.0000 0.0000 0.0000
V 0.0000 0.5000 0.0000
V 0.5000 0.0000 0.0000
B 0.5000 0.5000 0.5000
I 0.0000 0.0000 0.5000

Properties
As for the symmetry: P4/mmm, No. 123. The formation energy from raw total energies comes out at 11.8 eV per formula unit. The value obtained for the theoretical density is 3.37 g cm⁻³.

=====

Entry 4:
First-principles (PBE-GGA) data for a geometry-optimized Zn3Os structure, as listed in Alexandria.

Unit cell a=2.7824 b=2.7824 c=8.5974 alpha=90.00 beta=90.00 gamma=120.00
Sites, in units of the cell vectors:
Zn 0.0000 0.0000 0.0000
Zn 0.3333 0.6667 0.2519
Zn 0.3333 0.6667 0.7481
Os 0.0000 0.0000 0.5000

Properties
As for the symmetry: P-6m2, No. 187. The value obtained for the theoretical density is 11.13 g cm⁻³. Its calculated formation energy is 12.1 kJ/mol of atoms.

=====

Entry 5:
First-principles (PBE-GGA) data for a geometry-optimized BiSb2TeAu structure, as listed in Alexandria.

Unit cell a=5.8204 b=5.8204 c=5.9086 alpha=90.00 beta=90.00 gamma=90.00
Sites, in units of the cell vectors:
Bi 0.0000 0.0000 0.0000
Sb 0.0000 0.5000 0.0000
Sb 0.5000 0.0000 0.0000
Te 0.0000 0.0000 0.5000
Au 0.5000 0.5000 0.5000

Properties
As for the symmetry: P4/mmm, No. 123. The formation energy from raw total energies comes out at 5.5 eV per formula unit. The value obtained for the theoretical density is 6.45 g cm⁻³. The calculation puts the excess energy over the best structure of this formula in the dataset at 0.609 eV per atom.

=====

Entry 6:
First-principles (PBE-GGA) data for a geometry-optimized K4In3Br8 structure, as listed in Alexandria.

Unit cell a=9.1874 b=9.1874 c=9.1319 alpha=119.13 beta=119.13 gamma=90.90
Sites, in units of the cell vectors:
K 0.0000 0.0000 0.0000
K 0.0000 0.5000 0.0000
K 0.5000 0.0000 0.0000
K 0.5000 0.5000 0.5000
In 0.0000 0.5000 0.5000
In 0.5000 0.0000 0.5000
In 0.5000 0.5000 0.0000
Br 0.2515 0.7485 0.5000
Br 0.2530 0.7470 0.0000
Br 0.2542 0.2542 0.5135
Br 0.2646 0.2646 0.0084
Br 0.7354 0.7354 0.9916
Br 0.7458 0.7458 0.4865
Br 0.7470 0.2530 0.0000
Br 0.7485 0.2515 0.5000

Properties
As for the symmetry: C2/m, No. 12. The formation energy from raw total energies comes out at -18.1 eV per formula unit. The value obtained for the theoretical density is 3.41 g cm⁻³.

=====

Entry 7:
First-principles (PBE-GGA) data for a geometry-optimized Tb4DySb5 structure, as listed in Alexandria.

Unit cell a=11.6303 b=11.6303 c=11.6303 alpha=158.20 beta=149.00 gamma=38.22
Sites, in units of the cell vectors:
Tb 0.1000 0.1000 0.0000
Tb 0.3002 0.3002 0.0000
Tb 0.6998 0.6998 0.0000
Tb 0.9000 0.9000 0.0000
Dy 0.5000 0.5000 0.0000
Sb 0.0000 0.5000 0.5000
Sb 0.2000 0.7000 0.5000
Sb 0.4004 0.9004 0.5000
Sb 0.5996 0.0996 0.5000
Sb 0.8000 0.3000 0.5000

Properties
As for the symmetry: Immm, No. 71. The formation energy from raw total energies comes out at -11.5 eV per formula unit. The value obtained for the theoretical density is 7.78 g cm⁻³.

=====

Entry 8:
First-principles (PBE-GGA) data for a geometry-optimized NdMgIn2 structure, as listed in Alexandria.

Unit cell a=4.7126 b=4.7126 c=4.6185 alpha=90.00 beta=90.00 gamma=90.00
Sites, in units of the cell vectors:
Nd 0.0000 0.0000 0.0000
Mg 0.5000 0.5000 0.0000
In 0.0000 0.5000 0.5000
In 0.5000 0.0000 0.5000

Properties
As for the symmetry: P4/mmm, No. 123. The value obtained for the theoretical density is 6.45 g cm⁻³. Its calculated formation energy is -41.2 kJ/mol of atoms.

=====

Entry 9:
First-principles (PBE-GGA) data for a geometry-optimized Sm3TmTe4 structure, as listed in Alexandria.

Unit cell a=8.9534 b=12.4769 c=4.3415 alpha=90.00 beta=90.00 gamma=90.00
Sites, in units of the cell vectors:
Sm 0.0000 0.0000 0.0000
Sm 0.2500 0.2500 0.5000
Sm 0.2500 0.7500 0.5000
Sm 0.5000 0.5000 0.0000
Sm 0.7500 0.2500 0.5000
Sm 0.7500 0.7500 0.5000
Tm 0.0000 0.5000 0.0000
Tm 0.5000 0.0000 0.0000
Te 0.0000 0.2544 0.0000
Te 0.0000 0.7456 0.0000
Te 0.2413 0.5000 0.5000
Te 0.2587 0.0000 0.5000
Te 0.5000 0.2456 0.0000
Te 0.5000 0.7544 0.0000
Te 0.7413 0.0000 0.5000
Te 0.7587 0.5000 0.5000

Properties
As for the symmetry: Cmmm, No. 65. The formation energy from raw total energies comes out at -10.6 eV per formula unit. The value obtained for the theoretical density is 7.74 g cm⁻³.

=====

Entry 10:
First-principles (PBE-GGA) data for a geometry-optimized NbHgF5 structure, as listed in Alexandria.

Unit cell a=4.5743 b=6.3259 c=9.4313 alpha=93.19 beta=103.96 gamma=90.07
Sites, in units of the cell vectors:
Nb 0.0000 0.0000 0.0000
Nb 0.5000 0.5000 0.0000
Hg 0.0019 0.2488 0.5001
Hg 0.9981 0.7512 0.4999
F 0.1452 0.9862 0.8261
F 0.1820 0.4854 0.8261
F 0.2887 0.2567 0.0784
F 0.2889 0.7566 0.0779
F 0.4981 0.7498 0.5000
F 0.5019 0.2502 0.5000
F 0.7111 0.2434 0.9221
F 0.7113 0.7433 0.9216
F 0.8180 0.5146 0.1739
F 0.8548 0.0138 0.1739

Properties
As for the symmetry: P-1, No. 2. The formation energy from raw total energies comes out at -15.8 eV per formula unit. The value obtained for the theoretical density is 4.88 g cm⁻³.

=====

Entry 11:
First-principles (PBE-GGA) data for a geometry-optimized TbTeI structure, as listed in Alexandria.

Unit cell a=17.6319 b=4.2637 c=8.9427 alpha=90.00 beta=117.06 gamma=90.00
Sites, in units of the cell vectors:
Tb 0.1754 0.0000 0.2929
Tb 0.3246 0.5000 0.7071
Tb 0.6754 0.5000 0.2929
Tb 0.8246 0.0000 0.7071
Te 0.1380 0.5000 0.4931
Te 0.3620 0.0000 0.5069
Te 0.6380 0.0000 0.4931
Te 0.8620 0.5000 0.5069
I 0.1347 0.5000 0.0176
I 0.3653 0.0000 0.9824
I 0.6347 0.0000 0.0176
I 0.8653 0.5000 0.9824

Properties
As for the symmetry: C2/m, No. 12. The formation energy from raw total energies comes out at -3.8 eV per formula unit. The value obtained for the theoretical density is 4.59 g cm⁻³. The calculation puts the excess energy over the best structure of this formula in the dataset at 0.141 eV per atom.

=====

Entry 12:
First-principles (PBE-GGA) data for a geometry-optimized TcNi2PbI structure, as listed in Alexandria.

Unit cell a=4.5678 b=4.5678 c=6.3200 alpha=90.00 beta=90.00 gamma=90.00
Sites, in units of the cell vectors:
Tc 0.0000 0.0000 0.0000
Ni 0.0000 0.5000 0.5000
Ni 0.5000 0.0000 0.5000
Pb 0.5000 0.5000 0.0000
I 0.5000 0.5000 0.5000

Properties
As for the symmetry: P4/mmm, No. 123. The formation energy from raw total energies comes out at 7.4 eV per formula unit. The value obtained for the theoretical density is 6.92 g cm⁻³.

=====

Entry 13:
First-principles (PBE-GGA) data for a geometry-optimized Ba3Ti4Sb4O21 structure, as listed in Alexandria.

Unit cell a=9.1019 b=9.1019 c=12.0390 alpha=90.27 beta=90.27 gamma=60.13
Sites, in units of the cell vectors:
Ba 0.0940 0.9060 0.7500
Ba 0.0963 0.5002 0.2477
Ba 0.5002 0.0963 0.7477
Ba 0.4998 0.9037 0.2523
Ba 0.9037 0.4998 0.7523
Ba 0.9060 0.0940 0.2500
Ti 0.2487 0.5037 0.9008
Ti 0.2489 0.7471 0.0978
Ti 0.2529 0.7511 0.4022
Ti 0.4963 0.7513 0.5992
Ti 0.5037 0.2487 0.4008
Ti 0.7471 0.2489 0.5978
Ti 0.7511 0.2529 0.9022
Ti 0.7513 0.4963 0.0992
Sb 0.1664 0.1670 0.5000
Sb 0.1670 0.1664 0.0000
Sb 0.2606 0.5000 0.5861
Sb 0.5000 0.2606 0.0861
Sb 0.5000 0.7394 0.9139
Sb 0.7394 0.5000 0.4139
Sb 0.8330 0.8336 0.0000
Sb 0.8336 0.8330 0.5000
O 0.0121 0.6695 0.6059
O 0.0179 0.6726 0.8986
O 0.0179 0.8099 0.1028
O 0.0191 0.8147 0.4024
O 0.1820 0.3303 0.6064
O 0.1846 0.3341 0.9029
O 0.1853 0.9809 0.0976
O 0.1901 0.9821 0.3972
O 0.2843 0.4998 0.7500
O 0.2860 0.7140 0.2500
O 0.2961 0.7020 0.5740
O 0.2970 0.4998 0.4216
O 0.2980 0.7039 0.9260
O 0.2993 0.4984 0.0732
O 0.3274 0.9821 0.6014
O 0.3303 0.1820 0.1064
O 0.3305 0.9879 0.8941
O 0.3341 0.1846 0.4029
O 0.4984 0.2993 0.5732
O 0.4998 0.2843 0.2500
O 0.4998 0.2970 0.9216
O 0.5002 0.7030 0.0784
O 0.5002 0.7157 0.7500
O 0.5016 0.7007 0.4268
O 0.6659 0.8154 0.5971
O 0.6695 0.0121 0.1059
O 0.6697 0.8180 0.8936
O 0.6726 0.0179 0.3986
O 0.7007 0.5016 0.9268
O 0.7020 0.2961 0.0740
O 0.7030 0.5002 0.5784
O 0.7039 0.2980 0.4260
O 0.7140 0.2860 0.7500
O 0.7157 0.5002 0.2500
O 0.8099 0.0179 0.6028
O 0.8147 0.0191 0.9024
O 0.8154 0.6659 0.0971
O 0.8180 0.6697 0.3936
O 0.9809 0.1853 0.5976
O 0.9821 0.1901 0.8972
O 0.9821 0.3274 0.1014
O 0.9879 0.3305 0.3941

Properties
As for the symmetry: C2/c, No. 15. The formation energy from raw total energies comes out at -76.5 eV per formula unit. The value obtained for the theoretical density is 5.48 g cm⁻³.

=====

Entry 14:
First-principles (PBE-GGA) data for a geometry-optimized ScFe10Si2 structure, as listed in Alexandria.

Unit cell a=6.2732 b=6.2732 c=6.2732 alpha=135.75 beta=98.64 gamma=97.67
Sites, in units of the cell vectors:
Sc 0.0000 0.0000 0.0000
Fe 0.0000 0.0000 0.5000
Fe 0.0000 0.5000 0.0000
Fe 0.1998 0.5000 0.6998
Fe 0.3515 0.0000 0.3515
Fe 0.3602 0.3602 0.0000
Fe 0.5000 0.0000 0.0000
Fe 0.5000 0.5000 0.5000
Fe 0.6398 0.6398 0.0000
Fe 0.6485 0.0000 0.6485
Fe 0.8002 0.5000 0.3002
Si 0.2310 0.7310 0.5000
Si 0.7690 0.2690 0.5000

Properties
As for the symmetry: Immm, No. 71. The formation energy from raw total energies comes out at -3.3 eV per formula unit. The value obtained for the theoretical density is 6.86 g cm⁻³.

=====

Entry 15:
First-principles (PBE-GGA) data for a geometry-optimized Cs3FeTe structure, as listed in Alexandria.

Unit cell a=6.4572 b=6.4572 c=6.4572 alpha=90.00 beta=90.00 gamma=90.00
Sites, in units of the cell vectors:
Cs 0.0000 0.0000 0.5000
Cs 0.0000 0.5000 0.0000
Cs 0.5000 0.0000 0.0000
Fe 0.0000 0.0000 0.0000
Te 0.5000 0.5000 0.5000

Properties
As for the symmetry: Pm-3m, No. 221. The formation energy from raw total energies comes out at 1.5 eV per formula unit. The value obtained for the theoretical density is 3.59 g cm⁻³.

=====

Entry 16:
First-principles (PBE-GGA) data for a geometry-optimized NaBi2As structure, as listed in Alexandria.

Unit cell a=3.9266 b=3.9266 c=30.2693 alpha=90.00 beta=90.00 gamma=120.00
Sites, in units of the cell vectors:
Na 0.0000 0.0000 0.0000
Na 0.3333 0.6667 0.6667
Na 0.6667 0.3333 0.3333
Bi 0.0000 0.0000 0.1050
Bi 0.0000 0.0000 0.8950
Bi 0.3333 0.6667 0.5616
Bi 0.3333 0.6667 0.7717
Bi 0.6667 0.3333 0.2283
Bi 0.6667 0.3333 0.4384
As 0.0000 0.0000 0.5000
As 0.3333 0.6667 0.1667
As 0.6667 0.3333 0.8333

Properties
As for the symmetry: R-3m, No. 166. The value obtained for the theoretical density is 6.36 g cm⁻³. Its calculated formation energy is 9.3 kJ/mol of atoms.

=====

Entry 17:
First-principles (PBE-GGA) data for a geometry-optimized Pr3P2Cl structure, as listed in Alexandria.

Unit cell a=8.1884 b=8.1884 c=11.6323 alpha=90.00 beta=90.00 gamma=150.41
Sites, in units of the cell vectors:
Pr 0.0062 0.9938 0.7500
Pr 0.3753 0.6247 0.0095
Pr 0.3753 0.6247 0.4905
Pr 0.6247 0.3753 0.5095
Pr 0.6247 0.3753 0.9905
Pr 0.9938 0.0062 0.2500
P 0.0000 0.0000 0.0000
P 0.0000 0.0000 0.5000
P 0.3694 0.6306 0.2500
P 0.6306 0.3694 0.7500
Cl 0.3668 0.6332 0.7500
Cl 0.6332 0.3668 0.2500

Properties
As for the symmetry: Cmcm, No. 63. The formation energy from raw total energies comes out at -7.4 eV per formula unit. The value obtained for the theoretical density is 4.49 g cm⁻³.

=====

Entry 18:
First-principles (PBE-GGA) data for a geometry-optimized AcErFe4 structure, as listed in Alexandria.

Unit cell a=5.2634 b=5.2634 c=5.2634 alpha=60.00 beta=60.00 gamma=60.00
Sites, in units of the cell vectors:
Ac 0.0000 0.0000 0.0000
Er 0.2500 0.2500 0.2500
Fe 0.1283 0.6239 0.6239
Fe 0.6239 0.1283 0.6239
Fe 0.6239 0.6239 0.1283
Fe 0.6239 0.6239 0.6239

Properties
As for the symmetry: F-43m, No. 216. The value obtained for the theoretical density is 9.95 g cm⁻³. Its calculated formation energy is 9.3 kJ/mol of atoms.

=====

Entry 19:
First-principles (PBE-GGA) data for a geometry-optimized ZrSn2Ir structure, as listed in Alexandria.

Unit cell a=4.2213 b=4.2213 c=19.9662 alpha=90.00 beta=90.00 gamma=90.00
Sites, in units of the cell vectors:
Zr 0.0000 0.0000 0.0000
Zr 0.0000 0.5000 0.2500
Zr 0.5000 0.0000 0.7500
Zr 0.5000 0.5000 0.5000
Sn 0.2331 0.2500 0.6250
Sn 0.2500 0.7331 0.8750
Sn 0.2500 0.7669 0.3750
Sn 0.2669 0.2500 0.1250
Sn 0.7331 0.7500 0.1250
Sn 0.7500 0.2331 0.3750
Sn 0.7500 0.2669 0.8750
Sn 0.7669 0.7500 0.6250
Ir 0.0000 0.0000 0.5000
Ir 0.0000 0.5000 0.7500
Ir 0.5000 0.0000 0.2500
Ir 0.5000 0.5000 0.0000

Properties
As for the symmetry: I-42d, No. 122. The value obtained for the theoretical density is 9.72 g cm⁻³. Its calculated formation energy is -0.5 kJ/mol of atoms.

=====

Entry 20:
First-principles (PBE-GGA) data for a geometry-optimized K3Ho2TiS6 structure, as listed in Alexandria.

Unit cell a=6.7955 b=6.7955 c=7.6839 alpha=98.49 beta=98.49 gamma=120.01
Sites, in units of the cell vectors:
K 0.0000 0.0000 0.0000
K 0.3305 0.6695 0.0000
K 0.6695 0.3305 0.0000
Ho 0.1665 0.8335 0.5000
Ho 0.8335 0.1665 0.5000
Ti 0.5000 0.5000 0.5000
S 0.1199 0.4346 0.3040
S 0.2514 0.2514 0.6963
S 0.4346 0.1199 0.3040
S 0.5654 0.8801 0.6960
S 0.7486 0.7486 0.3037
S 0.8801 0.5654 0.6960

Properties
As for the symmetry: C2/m, No. 12. The formation energy from raw total energies comes out at -20.0 eV per formula unit. The value obtained for the theoretical density is 3.89 g cm⁻³.